Crystalline Ba2NiPb at its relaxed geometry. Source: Alexandria via LeMat-Bulk, functional GGA-PBEsol.

Cell: 4.1953 4.1953 27.4833 Å, 90.00 90.00 120.00°
Last column: nearest neighbours and their distance in Å.
Space group R-3m (No. 166, hexagonal axes)
One atom of each set of equivalent atoms:
Ba 0.0000 0.0000 0.2340 [6 per cell]  3 Ni 3.05
Ni 0.0000 0.0000 0.5000 [3 per cell]  6 Ba 3.05
Pb 0.0000 0.0000 0.0000 [3 per cell]  6 Ba 3.65

## Properties
Crystal system: trigonal
Uncorrected energy: -3.59 eV per atom
Fermi-level density of states: 0.37 states/eV per atom
Formation energy from the elements: 27 meV/atom
Magnetization: 0.00 μB per cell

***

Crystalline CaP2W at its relaxed geometry. Source: Alexandria via LeMat-Bulk, functional GGA-PBEsol.

Cell: 5.8513 5.8513 11.7929 Å, 90.00 90.00 90.00°
Last column: nearest neighbours and their distance in Å.
Space group I-42d (No. 122)
One atom of each set of equivalent atoms:
Ca 0.0000 0.0000 0.0000 [4 per cell]  4 P 2.85
P 0.1663 0.2500 0.6250 [8 per cell]  2 W 2.29
W 0.0000 0.0000 0.5000 [4 per cell]  4 P 2.29

## Properties
Crystal system: tetragonal
Uncorrected energy: -7.02 eV per atom
Fermi-level density of states: 0.90 states/eV per atom
Formation energy from the elements: -134 meV/atom
Magnetization: 0.00 μB per cell

***

Crystalline Rh2C at its relaxed geometry. Source: Alexandria via LeMat-Bulk, functional GGA-PBEsol.

Cell: 2.7531 2.7531 10.4740 Å, 90.00 90.00 120.00°
Last column: nearest neighbours and their distance in Å.
Space group P6_3/mmc (No. 194)
One atom of each set of equivalent atoms:
Rh 0.0000 0.0000 0.1215 [4 per cell]  3 C 2.08
C 0.3333 0.6667 0.2500 [2 per cell]  6 Rh 2.08

## Properties
Crystal system: hexagonal
Uncorrected energy: -8.29 eV per atom
Fermi-level density of states: 0.49 states/eV per atom
Formation energy from the elements: 347 meV/atom
Relative energy among the computed polymorphs: 0.237 eV/atom
Magnetization: 0.00 μB per cell

***

Crystalline LiY2Mg at its relaxed geometry. Source: Alexandria via LeMat-Bulk, functional GGA-PBEsol.

Cell: 11.8869 3.5881 5.3469 Å, 90.00 116.59 90.00°
Last column: nearest neighbours and their distance in Å.
Space group Cm (No. 8)
One atom of each set of equivalent atoms:
Li 0.0000 0.0000 0.0000 [2 per cell]  2 Mg 2.78
Y 0.0316 0.5000 0.5314 [2 per cell]  4 Li 3.24, 3 Mg 3.38-3.62, 6 Y 3.48-3.59
Y 0.2512 0.5000 0.2507 [2 per cell]  2 Li 3.22, 4 Mg 3.26, 6 Y 3.48-3.59
Mg 0.3008 0.0000 0.8000 [2 per cell]  2 Li 2.78

## Properties
Crystal system: monoclinic
Uncorrected energy: -4.29 eV per atom
Fermi-level density of states: 1.23 states/eV per atom
Formation energy from the elements: 46 meV/atom
Magnetization: 0.00 μB per cell

***

Crystalline KZrHg3 at its relaxed geometry. Source: Alexandria via LeMat-Bulk, functional GGA-PBEsol.

Cell: 5.5270 5.5270 5.5270 Å, 90.00 90.00 90.00°
Last column: nearest neighbours and their distance in Å.
Space group Pm-3m (No. 221)
One atom of each set of equivalent atoms:
K 0.0000 0.0000 0.0000 [1 per cell]  12 Hg 3.91
Zr 0.5000 0.5000 0.5000 [1 per cell]  6 Hg 2.76
Hg 0.0000 0.5000 0.5000 [3 per cell]  2 Zr 2.76

## Properties
Crystal system: cubic
Uncorrected energy: -2.17 eV per atom
Fermi-level density of states: 0.96 states/eV per atom
Formation energy from the elements: 210 meV/atom
Magnetization: 0.00 μB per cell

***

Crystalline KScAl2 at its relaxed geometry. Source: Alexandria via LeMat-Bulk, functional GGA-PBEsol.

Cell: 5.2449 5.2449 19.9611 Å, 90.00 90.00 90.00°
Last column: nearest neighbours and their distance in Å.
Space group I4_1/amd (No. 141, origin choice 2)
One atom of each set of equivalent atoms:
K 0.0000 0.2500 0.3750 [4 per cell]  4 Sc 3.71, 8 Al 3.85
Sc 0.0000 0.2500 0.8750 [4 per cell]  4 Al 2.82
Al 0.0000 0.0000 0.0000 [8 per cell]  2 Al 2.62, 2 Sc 2.82

## Properties
Crystal system: tetragonal
Uncorrected energy: -3.38 eV per atom
Fermi-level density of states: 1.05 states/eV per atom
Formation energy from the elements: 601 meV/atom
Relative energy among the computed polymorphs: 0.610 eV/atom
Magnetization: 0.00 μB per cell

***

Crystalline TaGa2Os at its relaxed geometry. Source: Alexandria via LeMat-Bulk, functional GGA-PBEsol.

Cell: 6.1836 6.1836 6.1836 Å, 90.00 90.00 90.00°
Last column: nearest neighbours and their distance in Å.
Space group Fm-3m (No. 225)
One atom of each set of equivalent atoms:
Ta 0.0000 0.0000 0.0000 [4 per cell]  8 Ga 2.68
Ga 0.2500 0.2500 0.2500 [8 per cell]  4 Ta 2.68, 4 Os 2.68
Os 0.0000 0.0000 0.5000 [4 per cell]  8 Ga 2.68

## Properties
Crystal system: cubic
Uncorrected energy: -7.78 eV per atom
Fermi-level density of states: 0.97 states/eV per atom
Formation energy from the elements: 79 meV/atom
Magnetization: 1.63 μB per cell

***

Crystalline BeNi2 at its relaxed geometry. Source: Alexandria via LeMat-Bulk, functional GGA-PBEsol.

Cell: 9.0908 2.4551 5.2172 Å, 90.00 106.78 90.00°
Last column: nearest neighbours and their distance in Å.
Space group C2/m (No. 12)
One atom of each set of equivalent atoms:
Be 0.1463 0.0000 0.0394 [4 per cell]  7 Ni 2.22-2.24, 4 Be 2.38-2.46
Ni 0.0218 0.5000 0.2680 [4 per cell]  4 Be 2.23-2.24, 6 Ni 2.45-2.46
Ni 0.1917 0.0000 0.6445 [4 per cell]  3 Be 2.22-2.23, 8 Ni 2.41-2.46

## Properties
Crystal system: monoclinic
Uncorrected energy: -5.69 eV per atom
Fermi-level density of states: 0.86 states/eV per atom
Formation energy from the elements: -255 meV/atom
Magnetization: 0.00 μB per cell

***

Crystalline RbMgCo2 at its relaxed geometry. Source: Alexandria via LeMat-Bulk, functional GGA-PBEsol.

Cell: 4.6491 4.6491 18.5407 Å, 90.00 90.00 90.00°
Last column: nearest neighbours and their distance in Å.
Space group I4_1/amd (No. 141, origin choice 2)
One atom of each set of equivalent atoms:
Rb 0.0000 0.2500 0.3750 [4 per cell]  4 Mg 3.29, 8 Co 3.48
Mg 0.0000 0.2500 0.8750 [4 per cell]  4 Co 2.59
Co 0.0000 0.0000 0.0000 [8 per cell]  2 Co 2.32, 2 Mg 2.59

## Properties
Crystal system: tetragonal
Uncorrected energy: -3.47 eV per atom
Fermi-level density of states: 1.60 states/eV per atom
Formation energy from the elements: 1081 meV/atom
Magnetization: 11.51 μB per cell

***

Crystalline Tb9Al5Se21 at its relaxed geometry. Source: Alexandria via LeMat-Bulk, functional GGA-PBEsol.

Cell: 17.2529 17.2529 18.9646 Å, 90.00 90.00 120.00°
Last column: nearest neighbours and their distance in Å.
Space group R3 (No. 146, hexagonal axes)
One atom of each set of equivalent atoms:
Tb 0.0195 0.2012 0.0000 [9 per cell]  7 Se 2.85-3.12
Tb 0.0213 0.1959 0.3225 [9 per cell]  7 Se 2.85-3.05
Tb 0.0205 0.1977 0.6585 [9 per cell]  6 Se 2.83-2.93
Tb 0.1523 0.6876 0.1659 [9 per cell]  7 Se 2.84-3.14
Tb 0.1553 0.6809 0.4874 [9 per cell]  7 Se 2.85-3.13
Tb 0.1592 0.6929 0.8278 [9 per cell]  7 Se 2.85-3.09
Al 0.0000 0.0000 0.1077 [3 per cell]  6 Se 2.54-2.61
Al 0.0000 0.0000 0.4231 [3 per cell]  6 Se 2.45-2.74
Al 0.0000 0.0000 0.6062 [3 per cell]  6 Se 2.54-2.61
Al 0.0000 0.0000 0.9245 [3 per cell]  6 Se 2.46-2.74
Al 0.0014 0.6704 0.9664 [9 per cell]  4 Se 2.36-2.39
Al 0.0056 0.3358 0.4663 [9 per cell]  4 Se 2.36-2.39
Se 0.9996 0.3323 0.5908 [9 per cell]  1 Al 2.36
Se 0.0002 0.6688 0.0910 [9 per cell]  1 Al 2.36
Se 0.0064 0.5450 0.2465 [9 per cell]  1 Al 2.38
Se 0.0069 0.1267 0.8599 [9 per cell]  1 Al 2.46
Se 0.0109 0.1230 0.5199 [9 per cell]  2 Al 2.61-2.74, 2 Tb 2.90
Se 0.0150 0.1338 0.1758 [9 per cell]  1 Al 2.54, 1 Tb 2.85
Se 0.0160 0.5463 0.5840 [9 per cell]  1 Al 2.37
Se 0.0219 0.5555 0.9154 [9 per cell]  1 Al 2.39
Se 0.1227 0.1126 0.0216 [9 per cell]  2 Al 2.61-2.74, 2 Tb 2.90-2.92
Se 0.1285 0.1183 0.3592 [9 per cell]  1 Al 2.45
Se 0.1305 0.3404 0.7505 [9 per cell]  1 Al 2.39
Se 0.1324 0.1199 0.6745 [9 per cell]  1 Al 2.54
Se 0.1319 0.3552 0.0827 [9 per cell]  1 Al 2.38
Se 0.1359 0.3496 0.4128 [9 per cell]  1 Al 2.37

## Properties
Crystal system: trigonal
Uncorrected energy: -5.70 eV per atom
Raw formation energy: -1.518 eV/atom
Fermi-level density of states: 0.00 states/eV per atom
Magnetization: 0.00 μB per cell